The following is a PBE calculation of an optimized crystal structure of LiTl4Au, from the Alexandria database.

Summary:
energy of formation from the pure elements = 0.199 eV/atom
DOS at the Fermi energy = 0.48 states/eV/atom
V = 29.5 Å³ per atom

Lattice parameters (Å, degrees): 8.915 8.915 8.915 90.00 90.00 90.00
Space group F-43m (No. 216)
Unique sites:
Li: 0.000 0.000 0.000 x4
Tl: 0.125 0.125 0.625 x16
Au: 0.250 0.250 0.250 x4

The following is a PBE calculation of an optimized crystal structure of Rb2BaV2S6, from the Alexandria database.

Summary:
raw formation energy = -11.9 eV per formula unit
V = 34.8 Å³ per atom

Lattice parameters (Å, degrees): 7.4277 7.4277 24.0416 90.00 90.00 120.00
Space group R-3m (No. 166, hexagonal axes)
Unique sites:
Rb: 0.0000 0.0000 0.2113 x6
Ba: 0.0000 0.0000 0.0000 x3
V: 0.0000 0.0000 0.4443 x6
S: 0.0100 0.5050 0.2409 x18

The following is a PBE calculation of an optimized crystal structure of DyHoF, from the Alexandria database.

Summary:
raw formation energy = -4.6 eV per formula unit
DOS at the Fermi energy = 0.89 states/eV/atom
V = 23.2 Å³ per atom

Lattice parameters (Å, degrees): 13.222 3.504 7.086 90.00 121.97 90.00
Space group C2/m (No. 12)
Unique sites:
Dy: 0.234 0.000 0.263 x4
Ho: 0.005 0.500 0.777 x4
F: 0.157 0.000 0.874 x4

The following is a PBE calculation of an optimized crystal structure of Ga8Co3Au2, from the Alexandria database.

Summary:
energy of formation from the pure elements = -0.218 eV/atom
DOS at the Fermi energy = 0.49 states/eV/atom
V = 16.1 Å³ per atom

Lattice parameters (Å, degrees): 7.585 4.036 7.607 90.00 116.00 90.00
Space group P2/m (No. 10)
Unique sites:
Ga: 0.104 0.000 0.398 x2
Ga: 0.134 0.500 0.852 x2
Ga: 0.352 0.500 0.634 x2
Ga: 0.383 0.000 0.117 x2
Co: 0.260 0.000 0.760 x2
Co: 0.500 0.500 0.000 x1
Au: 0.247 0.500 0.253 x2

The following raw total energy values (in eV per atom) correspond, in order, to the records above: -2.244, -5.344, -5.232, -4.225.